(1)
The following is a GGA-PBE calculation of an optimized crystal structure of BaNb3O8, from Alexandria via LeMat-Bulk.

Summary:
* raw total energy: -8.505 eV/atom
* distance to the lowest polymorph of the same formula: 0.0 meV per atom
* raw formation energy: -2.5220 eV/atom
* V: 16.36 A^3/atom
* N(E_F): 2.90 states/eV/cell

abc: 7.1313 7.1313 7.7088
angles: 107.68 107.68 31.85
Closest atoms and distances in Å follow each position.
Fractional positions:
Ba (0.0000, 0.0000, 0.0000)  5 O 2.50-2.76
Nb (0.0655, 0.0655, 0.5768)  1 O 1.78
Nb (0.2888, 0.2888, 0.0343)  5 O 1.85-2.02
Nb (0.3491, 0.3491, 0.5662)  4 O 1.91-2.08
O (0.0181, 0.0181, 0.3330)  1 Nb 1.78
O (0.1538, 0.1538, 0.8852)  1 Nb 1.85
O (0.2113, 0.2113, 0.5751)  2 Nb 1.91-2.00
O (0.3087, 0.3087, 0.3054)  2 Nb 1.91-2.02
O (0.3818, 0.3818, 0.8808)  1 Nb 1.99
O (0.5266, 0.5266, 0.6228)  3 Nb 2.09-2.33
O (0.8109, 0.8109, 0.0567)  2 Nb 1.98
O (0.9020, 0.9020, 0.6080)  2 Nb 2.08

***

(2)
The following is a GGA-PBE calculation of an optimized crystal structure of Ag6Se7, from Alexandria via LeMat-Bulk.

Summary:
* raw total energy: -2.878 eV/atom
* raw formation energy: 0.3138 eV/atom
* V: 23.31 A^3/atom
* N(E_F): 6.64 states/eV/cell

abc: 12.9375 12.9375 12.9375
angles: 23.53 23.53 23.53
Closest atoms and distances in Å follow each position.
Fractional positions:
Ag (0.0351, 0.0351, 0.0351)  1 Ag 2.65
Ag (0.1750, 0.1750, 0.1750)  6 Se 3.06-3.42, 3 Ag 3.11
Ag (0.3324, 0.3324, 0.3324)  9 Ag 3.05-3.34, 6 Se 3.25-3.32
Ag (0.6676, 0.6676, 0.6676)  9 Ag 3.05-3.34, 6 Se 3.25-3.32
Ag (0.8250, 0.8250, 0.8250)  6 Se 3.06-3.42, 3 Ag 3.11
Ag (0.9649, 0.9649, 0.9649)  1 Ag 2.65
Se (0.0773, 0.5771, 0.5771)  4 Se 2.64
Se (0.4229, 0.4229, 0.9227)  4 Se 2.64
Se (0.4229, 0.9228, 0.4229)  4 Se 2.64
Se (0.5000, 0.5000, 0.5000)  6 Ag 3.06
Se (0.5771, 0.0772, 0.5771)  4 Se 2.64
Se (0.5771, 0.5771, 0.0772)  4 Se 2.64
Se (0.9227, 0.4229, 0.4229)  4 Se 2.64

***

(3)
The following is a GGA-PBE calculation of an optimized crystal structure of SbSe3S, from Alexandria via LeMat-Bulk.

Summary:
* raw total energy: -2.843 eV/atom
* distance to the lowest polymorph of the same formula: 444.4 meV per atom
* raw formation energy: 0.8977 eV/atom
* V: 30.49 A^3/atom
* N(E_F): 6.41 states/eV/cell

abc: 5.3423 5.3423 5.3423
angles: 90.00 90.00 90.00
Closest atoms and distances in Å follow each position.
Fractional positions:
Sb (0.0000, 0.0000, 0.0000)  6 Se 2.67
Se (0.0000, 0.0000, 0.5000)  2 Sb 2.67
Se (0.0000, 0.5000, 0.0000)  2 Sb 2.67
Se (0.5000, 0.0000, 0.0000)  2 Sb 2.67
S (0.5000, 0.5000, 0.5000)  12 Se 3.78

***

Question: Number 2 is which compound?
Answer: Ag6Se7

***

Question: Which of these has the highest V?
Answer: SbSe3S